CuIr2Os: optimized geometry, PBE.

Energy relative to the lowest polymorph listed for this composition, kJ/mol of formula units: 121
Calculated formation energy, meV/atom: 356
V, Å³/cell: 112.1
M_tot, μB per cell: 0.00
ρ, g/cm³: 18.913

a = 2.8132 Å, b = 4.4583 Å, c = 8.9355 Å
α = 90.00°, β = 90.00°, γ = 90.00°
Last column: nearest neighbours and their distance in Å.
Space group Imm2 (No. 44)
One atom of each set of equivalent atoms:
Cu 0.0000 0.0000 0.0000  2 Os 2.50, 6 Ir 2.50-2.64
Ir 0.0000 0.0000 0.5072  4 Cu 2.64, 2 Os 2.73, 4 Ir 2.81-2.84
Ir 0.0000 0.5000 0.7314  2 Cu 2.50, 4 Os 2.66
Os 0.0000 0.5000 0.2686  2 Cu 2.50, 6 Ir 2.66-2.73